1 | ScAu2N after structural relaxation. Source: Alexandria via LeMat-Bulk, functional PBE.

Structure (POSCAR):
```
ScAu2N
1.0
5.8999 0.0000 0.0000
0.0000 5.8999 0.0000
2.9500 2.9500 4.6965
Sc Au N
2 4 2
direct
0.0000 0.0000 0.0000
0.7500 0.2500 0.5000
0.5473 0.1250 0.2500
0.2027 0.6250 0.2500
0.3750 0.4527 0.7500
0.8750 0.7973 0.7500
0.5000 0.5000 0.0000
0.2500 0.7500 0.5000
```

=====

2 | ScAu2N after structural relaxation. Source: Alexandria via LeMat-Bulk, functional PBE.

Structure (POSCAR):
```
ScAu2N
1.0
0.0000 3.2046 3.2046
3.2046 0.0000 3.2046
3.2046 3.2046 0.0000
Sc Au N
1 2 1
direct
0.5000 0.5000 0.5000
0.2500 0.2500 0.2500
0.7500 0.7500 0.7500
0.0000 0.0000 0.0000
```

=====

Which one is most stable, and which one is least stable? 2 is the most stable of them, while 1 is the least stable.

=====

1 | AuSe2N2 after structural relaxation. Source: Alexandria via LeMat-Bulk, functional PBE.

Structure (POSCAR):
```
AuSe2N2
1.0
5.4314 0.0000 0.0000
0.0000 5.4314 0.0000
0.0000 0.0000 3.7396
Au Se N
1 2 2
direct
0.0000 0.0000 0.0000
0.0000 0.5000 0.0000
0.5000 0.0000 0.0000
0.5000 0.5000 0.5000
0.0000 0.0000 0.5000
```

=====

2 | AuSe2N2 after structural relaxation. Source: Alexandria via LeMat-Bulk, functional PBE.

Structure (POSCAR):
```
AuSe2N2
1.0
3.9119 0.0000 0.0000
0.0000 3.9119 0.0000
0.0000 0.0000 8.0520
Au Se N
1 2 2
direct
0.0000 0.0000 0.0000
0.5000 0.5000 0.5000
0.0000 0.0000 0.5000
0.0000 0.5000 0.0000
0.5000 0.0000 0.0000
```

=====

Which one is most stable, and which one is least stable? 2 is the most stable of them, while 1 is the least stable.

=====

1 | SiAuSe2N after structural relaxation. Source: Alexandria via LeMat-Bulk, functional PBE.

Structure (POSCAR):
```
SiAuSe2N
1.0
-2.2023 2.4381 -4.1690
-4.2324 1.2328 2.9567
1.6518 3.2313 1.0171
Si Au Se N
1 1 2 1
direct
0.5000 0.5000 0.5000
0.0000 0.0000 0.0000
0.0000 0.5000 0.0000
0.5000 0.0000 0.0000
0.0000 0.0000 0.5000
```

=====

2 | SiAuSe2N after structural relaxation. Source: Alexandria via LeMat-Bulk, functional PBE.

Structure (POSCAR):
```
SiAuSe2N
1.0
5.2308 0.0000 0.0000
0.0000 5.2308 0.0000
0.0000 0.0000 3.2221
Si Au Se N
1 1 2 1
direct
0.0000 0.0000 0.0000
0.5000 0.5000 0.5000
0.0000 0.5000 0.0000
0.5000 0.0000 0.0000
0.0000 0.0000 0.5000
```

=====

Which one is most stable, and which one is least stable? 2 is the most stable of them, while 1 is the least stable.

=====

1 | TaAuSeN2 after structural relaxation. Source: Alexandria via LeMat-Bulk, functional PBE.

Structure (POSCAR):
```
TaAuSeN2
1.0
4.0171 0.0000 0.0000
0.0000 4.0171 0.0000
0.0000 0.0000 5.0001
N Au Se Ta
2 1 1 1
direct
0.0000 0.5000 0.0000
0.5000 0.0000 0.0000
0.0000 0.0000 0.0000
0.0000 0.0000 0.5000
0.5000 0.5000 0.5000
```

=====

2 | TaAuSeN2 after structural relaxation. Source: Alexandria via LeMat-Bulk, functional PBE.

Structure (POSCAR):
```
TaAuSeN2
1.0
-3.1766 2.2632 0.6647
-1.9514 -1.8952 -2.8730
-1.9015 -3.7807 3.7855
N Au Se Ta
2 1 1 1
direct
0.0000 0.5000 0.0000
0.5000 0.0000 0.0000
0.5000 0.5000 0.5000
0.0000 0.0000 0.5000
0.0000 0.0000 0.0000
```

=====

Which one is most stable, and which one is least stable? 2 is the most stable of them, while 1 is the least stable.

=====

1 | TeAuSe2N after structural relaxation. Source: Alexandria via LeMat-Bulk, functional PBE.

Structure (POSCAR):
```
TeAuSe2N
1.0
-3.9553 -3.6992 0.2977
1.8029 -2.2957 -4.5713
2.3267 -2.3202 2.0828
Te Au Se N
1 1 2 1
direct
0.0000 0.0000 0.0000
0.5000 0.5000 0.5000
0.0000 0.5000 0.0000
0.5000 0.0000 0.0000
0.0000 0.0000 0.5000
```

=====

2 | TeAuSe2N after structural relaxation. Source: Alexandria via LeMat-Bulk, functional PBE.

Structure (POSCAR):
```
TeAuSe2N
1.0
-3.1448 -2.0688 3.7949
3.9474 -3.2864 1.4795
1.2583 2.6250 2.4737
Te Au Se N
1 1 2 1
direct
0.5000 0.5000 0.5000
0.0000 0.0000 0.0000
0.0000 0.5000 0.0000
0.5000 0.0000 0.0000
0.0000 0.0000 0.5000
```

=====

Which one is most stable, and which one is least stable? 2 is the most stable of them, while 1 is the least stable.

=====

1 | TeAuSeN2 after structural relaxation. Source: Alexandria via LeMat-Bulk, functional PBE.

Structure (POSCAR):
```
TeAuSeN2
1.0
4.0179 0.0000 0.0000
0.0000 4.0179 0.0000
0.0000 0.0000 7.4145
Te Au Se N
1 1 1 2
direct
0.0000 0.0000 0.5000
0.0000 0.0000 0.0000
0.5000 0.5000 0.5000
0.0000 0.5000 0.0000
0.5000 0.0000 0.0000
```

=====

2 | TeAuSeN2 after structural relaxation. Source: Alexandria via LeMat-Bulk, functional PBE.

Structure (POSCAR):
```
TeAuSeN2
1.0
3.8969 0.0000 0.0000
0.0000 3.8969 0.0000
0.0000 0.0000 6.3307
Te Au Se N
1 1 1 2
direct
0.0000 0.0000 0.0000
0.5000 0.5000 0.5000
0.0000 0.0000 0.5000
0.0000 0.5000 0.0000
0.5000 0.0000 0.0000
```

=====

Which one is most stable, and which one is least stable? 2 is the most stable of them, while 1 is the least stable.

=====

1 | Te2AuSeN after structural relaxation. Source: Alexandria via LeMat-Bulk, functional PBE.

Structure (POSCAR):
```
Te2AuSeN
1.0
-3.4730 -4.4914 0.0872
3.8498 -3.0325 -2.8680
1.4826 -1.0855 3.1378
Te Au Se N
2 1 1 1
direct
0.0000 0.5000 0.0000
0.5000 0.0000 0.0000
0.5000 0.5000 0.5000
0.0000 0.0000 0.0000
0.0000 0.0000 0.5000
```

=====

2 | Te2AuSeN after structural relaxation. Source: Alexandria via LeMat-Bulk, functional PBE.

Structure (POSCAR):
```
Te2AuSeN
1.0
-5.1917 0.0307 2.1986
-1.2650 -4.6528 -2.9223
1.2322 -2.1816 2.9402
Te Au Se N
2 1 1 1
direct
0.0000 0.5000 0.0000
0.5000 0.0000 0.0000
0.0000 0.0000 0.0000
0.5000 0.5000 0.5000
0.0000 0.0000 0.5000
```

=====

Which one is most stable, and which one is least stable? 1 is the most stable of them, while 2 is the least stable.

=====

1 | TiAuSeN2 after structural relaxation. Source: Alexandria via LeMat-Bulk, functional PBE.

Structure (POSCAR):
```
TiAuSeN2
1.0
-2.1675 -1.1535 -3.1546
0.2405 -3.7980 1.2235
-4.3355 0.6130 2.7548
N Au Se Ti
2 1 1 1
direct
0.0000 0.5000 0.0000
0.5000 0.0000 0.0000
0.0000 0.0000 0.0000
0.0000 0.0000 0.5000
0.5000 0.5000 0.5000
```

=====

2 | TiAuSeN2 after structural relaxation. Source: Alexandria via LeMat-Bulk, functional PBE.

Structure (POSCAR):
```
TiAuSeN2
1.0
3.8347 0.0000 0.0000
0.0000 3.8347 0.0000
0.0000 0.0000 5.7836
N Au Se Ti
2 1 1 1
direct
0.0000 0.5000 0.0000
0.5000 0.0000 0.0000
0.5000 0.5000 0.5000
0.0000 0.0000 0.5000
0.0000 0.0000 0.0000
```

=====

Which one is most stable, and which one is least stable? 2 is the most stable of them, while 1 is the least stable.

=====

1 | TlAuSe2N after structural relaxation. Source: Alexandria via LeMat-Bulk, functional PBE.

Structure (POSCAR):
```
TlAuSe2N
1.0
-2.4548 -4.9414 -0.4476
2.0663 -1.4722 4.9201
-3.0844 1.3776 1.7076
Tl Au Se N
1 1 2 1
direct
0.5000 0.5000 0.5000
0.0000 0.0000 0.0000
0.0000 0.5000 0.0000
0.5000 0.0000 0.0000
0.0000 0.0000 0.5000
```

=====

2 | TlAuSe2N after structural relaxation. Source: Alexandria via LeMat-Bulk, functional PBE.

Structure (POSCAR):
```
TlAuSe2N
1.0
5.4842 0.0000 0.0000
0.0000 5.4842 0.0000
0.0000 0.0000 4.0871
Tl Au Se N
1 1 2 1
direct
0.0000 0.0000 0.0000
0.5000 0.5000 0.5000
0.0000 0.5000 0.0000
0.5000 0.0000 0.0000
0.0000 0.0000 0.5000
```

=====

Which one is most stable, and which one is least stable? 1 is the most stable of them, while 2 is the least stable.

=====

1 | VAuSe2N after structural relaxation. Source: Alexandria via LeMat-Bulk, functional PBE.

Structure (POSCAR):
```
VAuSe2N
1.0
5.0659 0.0000 0.0000
0.0000 5.1241 0.0000
0.0000 0.0000 5.0659
N Au Se V
1 1 2 1
direct
0.5000 0.5000 0.5000
0.0000 0.0000 0.0000
0.0000 0.0000 0.5000
0.5000 0.0000 0.0000
0.0000 0.5000 0.0000
```

=====

2 | VAuSe2N after structural relaxation. Source: Alexandria via LeMat-Bulk, functional PBE.

Structure (POSCAR):
```
VAuSe2N
1.0
-1.2151 3.1722 -3.6564
-2.6318 -3.5969 -2.2460
-2.9396 0.9995 1.8440
N Au Se V
1 1 2 1
direct
0.0000 0.0000 0.5000
0.5000 0.5000 0.5000
0.0000 0.5000 0.0000
0.5000 0.0000 0.0000
0.0000 0.0000 0.0000
```

=====

Which one is most stable, and which one is least stable? 2 is the most stable of them, while 1 is the least stable.

=====

1 | ZrAuSeN2 after structural relaxation. Source: Alexandria via LeMat-Bulk, functional PBE.

Structure (POSCAR):
```
ZrAuSeN2
1.0
4.0949 0.0000 0.0000
0.0000 4.0949 0.0000
0.0000 0.0000 4.9449
Au Se Zr N
1 1 1 2
direct
0.0000 0.0000 0.0000
0.0000 0.0000 0.5000
0.5000 0.5000 0.5000
0.0000 0.5000 0.0000
0.5000 0.0000 0.0000
```

=====

2 | ZrAuSeN2 after structural relaxation. Source: Alexandria via LeMat-Bulk, functional PBE.

Structure (POSCAR):
```
ZrAuSeN2
1.0
-3.1240 -2.6120 0.1077
1.4167 -1.8326 -3.3509
3.2156 -3.7063 3.3865
Au Se Zr N
1 1 1 2
direct
0.5000 0.5000 0.5000
0.0000 0.0000 0.5000
0.0000 0.0000 0.0000
0.0000 0.5000 0.0000
0.5000 0.0000 0.0000
```

=====

Which one is most stable, and which one is least stable? 2 is the most stable of them, while 1 is the least stable.

=====

1 | ZrAuSe2N after structural relaxation. Source: Alexandria via LeMat-Bulk, functional PBE.

Structure (POSCAR):
```
ZrAuSe2N
1.0
-0.0344 -2.1300 4.7701
5.1138 0.9611 0.4660
-0.7736 3.3856 1.5062
Au Se Zr N
1 2 1 1
direct
0.0000 0.0000 0.0000
0.0000 0.5000 0.0000
0.5000 0.0000 0.0000
0.5000 0.5000 0.5000
0.0000 0.0000 0.5000
```

=====

2 | ZrAuSe2N after structural relaxation. Source: Alexandria via LeMat-Bulk, functional PBE.

Structure (POSCAR):
```
ZrAuSe2N
1.0
-0.5123 1.0651 -5.2055
-3.0723 -4.3261 -0.5828
-3.2805 2.2250 0.7781
Au Se Zr N
1 2 1 1
direct
0.5000 0.5000 0.5000
0.0000 0.5000 0.0000
0.5000 0.0000 0.0000
0.0000 0.0000 0.0000
0.0000 0.0000 0.5000
```

=====

Which one is most stable, and which one is least stable? 2 is the most stable of them, while 1 is the least stable.